No. 1
Material: Y2PuMg
Method: DFT, GGA-PBE
State: relaxed

a b c (Å): 5.579 5.579 3.646
angles (deg): 90.00 90.00 90.00
Positions (direct):
Y1 0.000 0.500 0.000
Y2 0.500 0.000 0.000
Pu1 0.000 0.000 0.500
Mg1 0.500 0.500 0.500

## Properties
* energy of formation: 0.40 eV/f.u.
* magnetization: 6.8 Bohr magnetons per cell

***

No. 2
Material: YPuMg
Method: DFT, GGA-PBE
State: relaxed

a b c (Å): 5.464 5.464 3.196
angles (deg): 90.00 90.00 120.00
Positions (direct):
Y1 0.000 0.000 0.000
Pu1 0.333 0.667 0.401
Mg1 0.667 0.333 0.687

## Properties
* energy of formation: 0.45 eV/f.u.
* magnetization: 6.0 Bohr magnetons per cell

***

No. 3
Material: YPuMg
Method: DFT, GGA-PBE
State: relaxed

a b c (Å): 3.403 3.403 14.479
angles (deg): 90.00 90.00 90.00
Positions (direct):
Y1 0.000 0.000 0.000
Y2 0.500 0.500 0.500
Pu1 0.000 0.000 0.325
Pu2 0.500 0.500 0.825
Mg1 0.000 0.000 0.662
Mg2 0.500 0.500 0.162

## Properties
* energy of formation: 0.35 eV/f.u.
* magnetization: 12.5 Bohr magnetons per cell

***

No. 4
Material: Y5PuMg4
Method: DFT, GGA-PBE
State: relaxed

a b c (Å): 3.718 3.718 20.317
angles (deg): 90.00 90.00 90.00
Positions (direct):
Y1 0.000 0.000 0.000
Y2 0.000 0.000 0.192
Y3 0.000 0.000 0.387
Y4 0.000 0.000 0.613
Y5 0.000 0.000 0.808
Pu1 0.500 0.500 0.500
Mg1 0.500 0.500 0.096
Mg2 0.500 0.500 0.290
Mg3 0.500 0.500 0.710
Mg4 0.500 0.500 0.904

## Properties
* energy of formation: -0.31 eV/f.u.
* magnetization: 7.2 Bohr magnetons per cell

***

No. 5
Material: Y2PuMg
Method: DFT, GGA-PBE
State: relaxed

a b c (Å): 7.744 7.744 7.744
angles (deg): 90.00 90.00 90.00
Positions (direct):
Y1 0.250 0.250 0.250
Y2 0.250 0.250 0.750
Y3 0.250 0.750 0.250
Y4 0.250 0.750 0.750
Y5 0.750 0.250 0.250
Y6 0.750 0.250 0.750
Y7 0.750 0.750 0.250
Y8 0.750 0.750 0.750
Pu1 0.000 0.000 0.000
Pu2 0.000 0.500 0.500
Pu3 0.500 0.000 0.500
Pu4 0.500 0.500 0.000
Mg1 0.000 0.000 0.500
Mg2 0.000 0.500 0.000
Mg3 0.500 0.000 0.000
Mg4 0.500 0.500 0.500

## Properties
* energy of formation: 0.60 eV/f.u.
* magnetization: 25.3 Bohr magnetons per cell

***

No. 6
Material: Y2PuMg
Method: DFT, GGA-PBE
State: relaxed

a b c (Å): 3.488 3.488 9.438
angles (deg): 90.00 90.00 90.00
Positions (direct):
Y1 0.000 0.000 0.241
Y2 0.000 0.000 0.759
Pu1 0.500 0.500 0.500
Mg1 0.500 0.500 0.000

## Properties
* energy of formation: 0.21 eV/f.u.
* magnetization: 6.2 Bohr magnetons per cell

***

No. 7
Material: YPu2Mg
Method: DFT, GGA-PBE
State: relaxed

a b c (Å): 4.548 4.548 5.280
angles (deg): 90.00 90.00 90.00
Positions (direct):
Y1 0.000 0.000 0.000
Pu1 0.000 0.500 0.500
Pu2 0.500 0.000 0.500
Mg1 0.500 0.500 0.000

## Properties
* energy of formation: 0.66 eV/f.u.
* magnetization: 12.7 Bohr magnetons per cell

***

No. 8
Material: Y2PuMg
Method: DFT, GGA-PBE
State: relaxed

a b c (Å): 3.465 3.465 33.807
angles (deg): 90.00 90.00 120.00
Positions (direct):
Y1 0.000 0.000 0.000
Y2 0.000 0.000 0.166
Y3 0.333 0.667 0.667
Y4 0.333 0.667 0.833
Y5 0.667 0.333 0.333
Y6 0.667 0.333 0.500
Pu1 0.000 0.000 0.583
Pu2 0.333 0.667 0.250
Pu3 0.667 0.333 0.917
Mg1 0.000 0.000 0.416
Mg2 0.333 0.667 0.083
Mg3 0.667 0.333 0.750

## Properties
* energy of formation: 0.51 eV/f.u.
* magnetization: 18.5 Bohr magnetons per cell